1.
DFT (PBE) results for a relaxed structure of CaReSi.

Properties
- Total DFT energy (no corrections): -6.584 eV/atom
- Calculated volume: 20.57 Å³/atom
- Energy relative to the elements, uncorrected: 40.2 meV per atom

```
data_CaReSi
_space_group_name_H-M_alt 'P -6 m 2'
_space_group_IT_number 187
_space_group_name_Hall 'P -6 2'
_cell_length_a 4.1541
_cell_length_b 4.1541
_cell_length_c 4.1290
_cell_angle_alpha 90.00
_cell_angle_beta 90.00
_cell_angle_gamma 120.00
loop_
_atom_site_label
_atom_site_fract_x
_atom_site_fract_y
_atom_site_fract_z
Ca1 0.0000 0.0000 0.0000
Re1 0.3333 0.6667 0.5000
Si1 0.6667 0.3333 0.5000
```

2.
DFT (PBE) results for a relaxed structure of CaReSi3.

Properties
- Total DFT energy (no corrections): -3.660 eV/atom
- Calculated volume: 21.88 Å³/atom
- Energy relative to the elements, uncorrected: 2484.1 meV per atom

```
data_CaReSi3
_space_group_name_H-M_alt 'P m -3 m'
_space_group_IT_number 221
_space_group_name_Hall '-P 4 2 3'
_cell_length_a 4.7823
_cell_length_b 4.7823
_cell_length_c 4.7823
_cell_angle_alpha 90.00
_cell_angle_beta 90.00
_cell_angle_gamma 90.00
loop_
_atom_site_label
_atom_site_fract_x
_atom_site_fract_y
_atom_site_fract_z
Ca1 0.0000 0.0000 0.0000
Re1 0.5000 0.5000 0.5000
Si1 0.0000 0.0000 0.5000
```

3.
DFT (PBE) results for a relaxed structure of Ca2ReSi2.

Properties
- Total DFT energy (no corrections): -5.606 eV/atom
- Calculated volume: 20.19 Å³/atom
- Energy relative to the elements, uncorrected: -146.7 meV per atom

```
data_Ca2ReSi2
_space_group_name_H-M_alt 'P 4/m b m'
_space_group_IT_number 127
_space_group_name_Hall '-P 4 2ab'
_cell_length_a 6.6156
_cell_length_b 6.6156
_cell_length_c 4.6139
_cell_angle_alpha 90.00
_cell_angle_beta 90.00
_cell_angle_gamma 90.00
loop_
_atom_site_label
_atom_site_fract_x
_atom_site_fract_y
_atom_site_fract_z
Ca1 0.1769 0.3231 0.0000
Re1 0.0000 0.0000 0.5000
Si1 0.1375 0.6375 0.5000
```

4.
DFT (PBE) results for a relaxed structure of CaReSi.

Properties
- Total DFT energy (no corrections): -6.288 eV/atom
- Calculated volume: 19.59 Å³/atom
- Energy relative to the elements, uncorrected: 335.9 meV per atom

```
data_CaReSi
_space_group_name_H-M_alt 'P 3 m 1'
_space_group_IT_number 156
_cell_length_a 3.3044
_cell_length_b 3.3044
_cell_length_c 6.2152
_cell_angle_alpha 90.00
_cell_angle_beta 90.00
_cell_angle_gamma 120.00
loop_
_space_group_symop_operation_xyz
'x,y,z'
'-y,x-y,z'
'-x+y,-x,z'
'-y,-x,z'
'-x+y,y,z'
'x,x-y,z'
loop_
_atom_site_label
_atom_site_fract_x
_atom_site_fract_y
_atom_site_fract_z
Ca1 0.0000 0.0000 0.0000
Re1 0.6667 0.3333 0.3838
Si1 0.3333 0.6667 0.6211
```

5.
DFT (PBE) results for a relaxed structure of CaReSi.

Properties
- Total DFT energy (no corrections): -6.154 eV/atom
- Calculated volume: 19.73 Å³/atom
- Energy relative to the elements, uncorrected: 470.1 meV per atom

```
data_CaReSi
_space_group_name_H-M_alt 'F -4 3 m'
_space_group_IT_number 216
_space_group_name_Hall 'F -4 2 3'
_cell_length_a 6.1868
_cell_length_b 6.1868
_cell_length_c 6.1868
_cell_angle_alpha 90.00
_cell_angle_beta 90.00
_cell_angle_gamma 90.00
loop_
_atom_site_label
_atom_site_fract_x
_atom_site_fract_y
_atom_site_fract_z
Ca1 0.0000 0.0000 0.0000
Re1 0.0000 0.0000 0.5000
Si1 0.2500 0.2500 0.7500
```

6.
DFT (PBE) results for a relaxed structure of CaRe4Si.

Properties
- Total DFT energy (no corrections): -9.036 eV/atom
- Calculated volume: 17.29 Å³/atom
- Energy relative to the elements, uncorrected: 500.3 meV per atom

```
data_CaRe4Si
_space_group_name_H-M_alt 'F -4 3 m'
_space_group_IT_number 216
_space_group_name_Hall 'F -4 2 3'
_cell_length_a 7.4593
_cell_length_b 7.4593
_cell_length_c 7.4593
_cell_angle_alpha 90.00
_cell_angle_beta 90.00
_cell_angle_gamma 90.00
loop_
_atom_site_label
_atom_site_fract_x
_atom_site_fract_y
_atom_site_fract_z
Ca1 0.0000 0.0000 0.0000
Re1 0.1243 0.1243 0.6243
Si1 0.2500 0.2500 0.2500
```

7.
DFT (PBE) results for a relaxed structure of CaSmRe4.

Properties
- Total DFT energy (no corrections): -9.345 eV/atom
- Calculated volume: 19.04 Å³/atom

```
data_CaSmRe4
_space_group_name_H-M_alt 'F -4 3 m'
_space_group_IT_number 216
_space_group_name_Hall 'F -4 2 3'
_cell_length_a 7.7018
_cell_length_b 7.7018
_cell_length_c 7.7018
_cell_angle_alpha 90.00
_cell_angle_beta 90.00
_cell_angle_gamma 90.00
loop_
_atom_site_label
_atom_site_fract_x
_atom_site_fract_y
_atom_site_fract_z
Ca1 0.0000 0.0000 0.0000
Sm1 0.2500 0.2500 0.2500
Re1 0.1250 0.1250 0.6250
```

8.
DFT (PBE) results for a relaxed structure of Ca2ReSn.

Properties
- Total DFT energy (no corrections): -4.553 eV/atom
- Calculated volume: 34.76 Å³/atom

```
data_Ca2ReSn
_space_group_name_H-M_alt 'I -4 2 d'
_space_group_IT_number 122
_space_group_name_Hall 'I -4 2bw'
_cell_length_a 10.3075
_cell_length_b 10.3075
_cell_length_c 5.2342
_cell_angle_alpha 90.00
_cell_angle_beta 90.00
_cell_angle_gamma 90.00
loop_
_atom_site_label
_atom_site_fract_x
_atom_site_fract_y
_atom_site_fract_z
Ca1 0.0937 0.2500 0.1250
Re1 0.0000 0.0000 0.0000
Sn1 0.0000 0.0000 0.5000
```

9.
DFT (PBE) results for a relaxed structure of CaRe2Sn.

Properties
- Total DFT energy (no corrections): -6.515 eV/atom
- Calculated volume: 21.43 Å³/atom

```
data_CaRe2Sn
_space_group_name_H-M_alt 'I -4 2 d'
_space_group_IT_number 122
_space_group_name_Hall 'I -4 2bw'
_cell_length_a 7.9482
_cell_length_b 7.9482
_cell_length_c 5.4282
_cell_angle_alpha 90.00
_cell_angle_beta 90.00
_cell_angle_gamma 90.00
loop_
_atom_site_label
_atom_site_fract_x
_atom_site_fract_y
_atom_site_fract_z
Ca1 0.0000 0.0000 0.0000
Re1 0.2100 0.7500 0.6250
Sn1 0.0000 0.0000 0.5000
```

10.
DFT (PBE) results for a relaxed structure of CaReSn2.

Properties
- Total DFT energy (no corrections): -5.074 eV/atom
- Calculated volume: 31.56 Å³/atom

```
data_CaReSn2
_space_group_name_H-M_alt 'I -4 2 d'
_space_group_IT_number 122
_space_group_name_Hall 'I -4 2bw'
_cell_length_a 5.4159
_cell_length_b 5.4159
_cell_length_c 17.2159
_cell_angle_alpha 90.00
_cell_angle_beta 90.00
_cell_angle_gamma 90.00
loop_
_atom_site_label
_atom_site_fract_x
_atom_site_fract_y
_atom_site_fract_z
Ca1 0.0000 0.0000 0.0000
Re1 0.0000 0.0000 0.5000
Sn1 0.1052 0.2500 0.6250
```